La3Sn5O12 | the Alexandria database | PBE-GGA | optimized geometry; energy relative to the elements, uncorrected = -2.054 eV per atom; D(E_F) = 0.272 states/eV per atom; raw total energy = -6.77 eV per atom; SG = Ia-3d, No. 230
1.0
11.881 0.000 0.000
-3.960 11.201 0.000
-3.960 -5.601 9.701
Sn La O
20 12 48
Direct
0.000 0.000 0.000 Sn
0.625 0.875 0.250 Sn
0.125 0.375 0.250 Sn
0.750 0.125 0.875 Sn
0.500 0.500 0.500 Sn
0.500 0.000 0.000 Sn
0.000 0.500 0.000 Sn
0.000 0.000 0.500 Sn
0.875 0.250 0.625 Sn
0.250 0.875 0.125 Sn
0.125 0.750 0.375 Sn
0.250 0.375 0.625 Sn
0.500 0.000 0.500 Sn
0.375 0.250 0.125 Sn
0.750 0.625 0.375 Sn
0.625 0.750 0.875 Sn
0.500 0.500 0.000 Sn
0.875 0.625 0.750 Sn
0.375 0.125 0.750 Sn
0.000 0.500 0.500 Sn
0.625 0.250 0.375 La
0.750 0.375 0.125 La
0.875 0.125 0.250 La
0.375 0.750 0.625 La
0.625 0.375 0.750 La
0.125 0.875 0.750 La
0.875 0.750 0.125 La
0.125 0.250 0.875 La
0.375 0.625 0.250 La
0.750 0.875 0.625 La
0.250 0.625 0.875 La
0.250 0.125 0.375 La
0.588 0.626 0.426 O
0.538 0.201 0.126 O
0.663 0.201 0.574 O
0.799 0.462 0.374 O
0.626 0.588 0.926 O
0.574 0.874 0.412 O
0.126 0.426 0.088 O
0.874 0.574 0.912 O
0.088 0.926 0.126 O
0.337 0.799 0.426 O
0.299 0.426 0.837 O
0.074 0.163 0.201 O
0.337 0.538 0.412 O
0.962 0.374 0.299 O
0.462 0.799 0.874 O
0.626 0.038 0.201 O
0.088 0.163 0.462 O
0.163 0.088 0.962 O
0.412 0.038 0.337 O
0.074 0.912 0.374 O
0.663 0.462 0.588 O
0.038 0.412 0.837 O
0.038 0.626 0.701 O
0.701 0.574 0.163 O
0.201 0.538 0.626 O
0.926 0.088 0.626 O
0.201 0.663 0.074 O
0.837 0.926 0.299 O
0.574 0.701 0.663 O
0.874 0.299 0.462 O
0.701 0.126 0.038 O
0.926 0.837 0.799 O
0.962 0.588 0.163 O
0.799 0.337 0.926 O
0.163 0.074 0.701 O
0.426 0.299 0.337 O
0.912 0.074 0.874 O
0.912 0.837 0.538 O
0.462 0.663 0.088 O
0.374 0.412 0.074 O
0.588 0.962 0.663 O
0.538 0.337 0.912 O
0.426 0.126 0.588 O
0.299 0.874 0.962 O
0.374 0.962 0.799 O
0.126 0.701 0.538 O
0.837 0.912 0.038 O
0.412 0.374 0.574 O

=====

La2SnO5 | the Alexandria database | PBE-GGA | optimized geometry; energy relative to the elements, uncorrected = -2.806 eV per atom; D(E_F) = 0.000 states/eV per atom; raw total energy = -7.64 eV per atom; SG = Pnma, No. 62
1.0
-3.377 -0.361 -1.951
-3.351 -3.012 6.359
-4.427 15.172 4.853
La O Sn
8 20 4
Direct
0.250 0.633 0.245 La
0.250 0.623 0.582 La
0.250 0.133 0.255 La
0.750 0.877 0.082 La
0.250 0.123 0.918 La
0.750 0.867 0.745 La
0.750 0.367 0.755 La
0.750 0.377 0.418 La
0.750 0.587 0.151 O
0.750 0.214 0.171 O
0.250 0.910 0.468 O
0.250 0.413 0.849 O
0.250 0.410 0.032 O
0.750 0.714 0.329 O
0.750 0.087 0.349 O
0.750 0.151 0.004 O
0.250 0.913 0.651 O
0.750 0.590 0.968 O
0.250 0.890 0.172 O
0.250 0.786 0.829 O
0.250 0.849 0.996 O
0.750 0.090 0.532 O
0.250 0.390 0.328 O
0.750 0.110 0.828 O
0.750 0.610 0.672 O
0.250 0.286 0.671 O
0.750 0.651 0.496 O
0.250 0.349 0.504 O
0.250 0.120 0.572 Sn
0.750 0.380 0.072 Sn
0.750 0.880 0.428 Sn
0.250 0.620 0.928 Sn

=====

- Which formula does entry 2 have?
  La2SnO5

=====

- The highest D(E_F) belongs to which entry?
  La3Sn5O12

=====

- Number 2 is which compound?
  La2SnO5